Entry 1:
{"formula": "Tb3Sm4Au4", "functional": "PBE", "state": "optimized geometry", "sg": "Immm, No. 71", "total_energy_ev_per_atom": -4.705, "delta_e_f_ev_per_atom": -0.535, "lattice_angstrom": [[-0.822, -3.657, 0.671], [6.086, -0.098, 6.915], [-8.867, 4.292, 1.728]], "species": ["Tb", "Tb", "Tb", "Sm", "Sm", "Sm", "Sm", "Au", "Au", "Au", "Au"], "fractional_positions": [[0.102, 0.102, 0.204], [0.898, 0.898, 0.796], [0.000, 0.500, 0.000], [0.339, 0.152, 0.677], [0.661, 0.475, 0.323], [0.661, 0.848, 0.323], [0.339, 0.525, 0.677], [0.257, 0.757, 0.515], [0.743, 0.243, 0.485], [0.500, 0.819, 0.000], [0.500, 0.181, 0.000]]}

=====

Entry 2:
{"formula": "TbSmAu4", "functional": "PBE", "state": "optimized geometry", "sg": "P4/mmm, No. 123", "total_energy_ev_per_atom": -4.574, "delta_e_f_ev_per_atom": -0.831, "lattice_angstrom": [[3.759, -0.481, -0.173], [0.474, 3.760, -0.173], [0.463, 0.358, 9.133]], "species": ["Tb", "Sm", "Au", "Au", "Au", "Au"], "fractional_positions": [[0.000, 0.000, 0.000], [0.500, 0.500, 0.500], [0.500, 0.500, 0.162], [0.500, 0.500, 0.838], [0.000, 0.000, 0.668], [0.000, 0.000, 0.332]]}

=====

Entry 3:
{"formula": "Tb2Sm2Au3", "functional": "PBE", "state": "optimized geometry", "sg": "I2_13, No. 199", "total_energy_ev_per_atom": -4.720, "delta_e_f_ev_per_atom": -0.645, "lattice_angstrom": [[7.389, 0.000, -2.612], [-3.695, 6.399, -2.612], [0.000, 0.000, 7.837]], "species": ["Tb", "Tb", "Tb", "Tb", "Sm", "Sm", "Sm", "Sm", "Au", "Au", "Au", "Au", "Au", "Au"], "fractional_positions": [[0.000, 0.000, 0.862], [0.500, 0.862, 0.500], [0.138, 0.638, 0.638], [0.362, 0.500, 0.000], [0.500, 0.358, 0.500], [0.000, 0.000, 0.358], [0.642, 0.142, 0.142], [0.858, 0.500, 0.000], [0.750, 0.632, 0.382], [0.250, 0.868, 0.118], [0.618, 0.750, 0.868], [0.882, 0.250, 0.632], [0.368, 0.118, 0.750], [0.132, 0.382, 0.250]]}

=====

Entry 4:
{"formula": "TbSm2Au3", "functional": "PBE", "state": "optimized geometry", "sg": "P-3m1, No. 164", "total_energy_ev_per_atom": -4.797, "de_polymorph_kj_per_mol_atoms": 0.41, "delta_e_f_ev_per_atom": -0.814, "lattice_angstrom": [[-4.631, 2.233, -0.528], [1.052, -4.393, -2.513], [-2.176, -3.345, 4.936]], "species": ["Tb", "Sm", "Sm", "Au", "Au", "Au"], "fractional_positions": [[0.000, 0.000, 0.000], [0.667, 0.333, 0.332], [0.333, 0.667, 0.668], [0.000, 0.000, 0.500], [0.667, 0.333, 0.839], [0.333, 0.667, 0.161]]}

=====

Entry 5:
{"formula": "TbSmAu", "functional": "PBE", "state": "optimized geometry", "sg": "Pnma, No. 62", "total_energy_ev_per_atom": -4.815, "de_polymorph_kj_per_mol_atoms": 0.00, "delta_e_f_ev_per_atom": -0.606, "lattice_angstrom": [[-4.718, -1.587, 0.692], [2.523, -4.181, 7.618], [-1.461, 5.986, 3.769]], "species": ["Tb", "Tb", "Tb", "Tb", "Sm", "Sm", "Sm", "Sm", "Au", "Au", "Au", "Au"], "fractional_positions": [[0.750, 0.918, 0.150], [0.750, 0.582, 0.650], [0.250, 0.082, 0.850], [0.250, 0.418, 0.350], [0.250, 0.823, 0.489], [0.750, 0.323, 0.011], [0.250, 0.677, 0.989], [0.750, 0.177, 0.511], [0.750, 0.597, 0.247], [0.750, 0.903, 0.747], [0.250, 0.097, 0.253], [0.250, 0.403, 0.753]]}

=====

Entry 6:
{"formula": "TbSmTcAu", "functional": "PBE", "state": "optimized geometry", "sg": "F-43m, No. 216", "total_energy_ev_per_atom": -6.039, "delta_e_f_ev_per_atom": -0.291, "lattice_angstrom": [[5.017, 0.000, 0.000], [2.509, 4.345, 0.000], [2.509, 1.448, 4.096]], "species": ["Tb", "Au", "Tc", "Sm"], "fractional_positions": [[0.500, 0.500, 0.500], [0.750, 0.750, 0.750], [0.250, 0.250, 0.250], [0.000, 0.000, 0.000]]}

=====

Entry 7:
{"formula": "TbSmTeAu", "functional": "PBE", "state": "optimized geometry", "sg": "R3m, No. 160", "total_energy_ev_per_atom": -4.998, "lattice_angstrom": [[-0.212, -2.514, 3.370], [3.104, -2.733, 0.786], [4.522, 3.477, 5.508]], "species": ["Tb", "Sm", "Te", "Au"], "fractional_positions": [[0.994, 0.994, 0.019], [0.506, 0.506, 0.481], [0.748, 0.748, 0.755], [0.252, 0.252, 0.245]]}

=====

Entry 8:
{"formula": "TbSmTlAu", "functional": "PBE", "state": "optimized geometry", "sg": "P4mm, No. 99", "total_energy_ev_per_atom": -4.346, "de_polymorph_kj_per_mol_atoms": 0.00, "delta_e_f_ev_per_atom": -0.598, "lattice_angstrom": [[3.664, 0.000, 0.000], [0.000, 3.664, 0.000], [0.000, 0.000, 7.823]], "species": ["Tb", "Sm", "Tl", "Au"], "fractional_positions": [[0.000, 0.000, 0.381], [0.000, 0.000, 0.840], [0.500, 0.500, 0.113], [0.500, 0.500, 0.593]]}

=====

Entry 9:
{"formula": "TbSmTlAu", "functional": "PBE", "state": "optimized geometry", "sg": "F-43m, No. 216", "total_energy_ev_per_atom": -4.295, "de_polymorph_kj_per_mol_atoms": 4.89, "delta_e_f_ev_per_atom": -0.547, "lattice_angstrom": [[5.305, 0.000, 0.000], [2.653, 4.594, 0.000], [2.653, 1.531, 4.332]], "species": ["Tb", "Tl", "Au", "Sm"], "fractional_positions": [[0.750, 0.750, 0.750], [0.500, 0.500, 0.500], [0.000, 0.000, 0.000], [0.250, 0.250, 0.250]]}

=====

Entry 10:
{"formula": "Sm5TcAu2", "functional": "PBE", "state": "optimized geometry", "sg": "Pbam, No. 55", "total_energy_ev_per_atom": -5.477, "delta_e_f_ev_per_atom": -0.412, "lattice_angstrom": [[4.602, 0.000, 0.000], [0.000, 7.871, 0.000], [0.000, 0.000, 11.934]], "species": ["Sm", "Sm", "Sm", "Sm", "Sm", "Sm", "Sm", "Sm", "Sm", "Sm", "Tc", "Tc", "Au", "Au", "Au", "Au"], "fractional_positions": [[0.000, 0.000, 0.500], [0.000, 0.500, 0.000], [0.000, 0.848, 0.205], [0.000, 0.152, 0.795], [0.000, 0.652, 0.705], [0.000, 0.348, 0.295], [0.500, 0.683, 0.422], [0.500, 0.317, 0.578], [0.500, 0.817, 0.922], [0.500, 0.183, 0.078], [0.000, 0.500, 0.500], [0.000, 0.000, 0.000], [0.500, 0.568, 0.167], [0.500, 0.432, 0.833], [0.500, 0.932, 0.667], [0.500, 0.068, 0.333]]}

=====

Entry 11:
{"formula": "Sm2TcAu", "functional": "PBE", "state": "optimized geometry", "sg": "P4/mmm, No. 123", "total_energy_ev_per_atom": -6.109, "delta_e_f_ev_per_atom": -0.339, "lattice_angstrom": [[-1.830, -1.865, 2.391], [2.784, 0.074, 2.188], [-2.495, 6.247, 2.965]], "species": ["Au", "Tc", "Sm", "Sm"], "fractional_positions": [[0.500, 0.500, 0.500], [0.500, 0.500, 0.000], [0.000, 0.000, 0.770], [0.000, 0.000, 0.230]]}

=====

Entry 12:
{"formula": "SmThTcAu", "functional": "PBE", "state": "optimized geometry", "sg": "F-43m, No. 216", "total_energy_ev_per_atom": -6.726, "delta_e_f_ev_per_atom": -0.281, "lattice_angstrom": [[5.111, 0.000, 0.000], [2.555, 4.426, 0.000], [2.555, 1.475, 4.173]], "species": ["Au", "Sm", "Th", "Tc"], "fractional_positions": [[0.500, 0.500, 0.500], [0.250, 0.250, 0.250], [0.750, 0.750, 0.750], [0.000, 0.000, 0.000]]}